Entry from OQMD: crystalline YZnPb at its relaxed geometry (PBE-GGA).

```
3
Lattice="0.000 3.530 3.530 3.530 0.000 3.530 3.530 3.530 0.000" Properties=species:S:1:pos:R:3 pbc="T T T"
Y 0.000 0.000 0.000
Zn 1.765 1.765 1.765
Pb 5.295 5.295 5.295
```

Values from the calculation:
Space group: F-43m (216)
ρ: 6824 kg/m3
Energy: -0.140 Ha/atom